1.
VASP calculation (PBE-GGA) on a relaxed ZrCr2P crystal.

abc: 2.996 2.996 6.369
angles: 90.00 90.00 90.00
Fractional coordinates of all 4 atoms:
Zr1 0.000 0.000 0.000
Cr1 0.000 0.000 0.510
Cr2 0.500 0.500 0.311
P1 0.500 0.500 0.694

2.
VASP calculation (PBE-GGA) on a relaxed ZrCr3P crystal.

abc: 4.292 4.292 4.292
angles: 90.00 90.00 90.00
Fractional coordinates of all 5 atoms:
Zr1 0.000 0.000 0.000
Cr1 0.000 0.500 0.500
Cr2 0.500 0.000 0.500
Cr3 0.500 0.500 0.000
P1 0.500 0.500 0.500

Summary:
The calculation puts the excess energy over the best structure of this formula in the dataset at 0.000 eV/atom.

| no. | formation enthalpy at 0 K (eV/atom) | calculated volume (Å³ per atom) | uncorrected energy (eV per formula unit) |
| --- | --- | --- | --- |
| 1 | -0.2179 | 14.29 | -34.08 |
| 2 | 0.1850 | 15.81 | -41.90 |